1.
# BaSr2LaRh, relaxed, DFT GGA-PBE
data_BaSr2LaRh
_chemical_formula_sum 'Ba1 Sr2 La1 Rh1'
_cell_length_a 6.213
_cell_length_b 6.213
_cell_length_c 5.504
_cell_angle_alpha 90.00
_cell_angle_beta 90.00
_cell_angle_gamma 90.00
_symmetry_space_group_name_H-M 'P 1'
_symmetry_Int_Tables_number 1
_symmetry_space_group_name_Hall 'P 1'
loop_
_atom_site_label
_atom_site_type_symbol
_atom_site_fract_x
_atom_site_fract_y
_atom_site_fract_z
Sr1 Sr 0.500 0.000 0.000
Sr2 Sr 0.000 0.500 0.000
Rh1 Rh 0.000 0.000 0.000
La1 La 0.000 0.000 0.500
Ba1 Ba 0.500 0.500 0.500
# SG = P4/mmm, No. 123

---

2.
# Nb6RuPt, relaxed, DFT GGA-PBE
data_Nb6RuPt
_chemical_formula_sum 'Nb6 Ru1 Pt1'
_cell_length_a 4.650
_cell_length_b 4.650
_cell_length_c 7.224
_cell_angle_alpha 71.23
_cell_angle_beta 71.23
_cell_angle_gamma 90.00
_symmetry_space_group_name_H-M 'P 1'
_symmetry_Int_Tables_number 1
_symmetry_space_group_name_Hall 'P 1'
loop_
_atom_site_label
_atom_site_type_symbol
_atom_site_fract_x
_atom_site_fract_y
_atom_site_fract_z
Nb1 Nb 0.751 0.751 0.499
Nb2 Nb 0.624 0.124 0.751
Nb3 Nb 0.376 0.876 0.249
Nb4 Nb 0.124 0.624 0.751
Nb5 Nb 0.249 0.249 0.501
Nb6 Nb 0.876 0.376 0.249
Ru1 Ru 0.000 0.000 0.000
Pt1 Pt 0.500 0.500 0.000
# SG = I4/mmm, No. 139

---

| no. | E_form (meV/atom) |
| --- | --- |
| 1 | -220 |
| 2 | -229 |